(1)
Computed, not measured: a relaxed structure of ZrSiMo2 at the GGA-PBEsol level of DFT.

Cell lengths 3.3202, 4.3388, 5.2236 Å; angles 114.54, 108.53, 90.00 degrees
Closest atoms and distances in Å follow each position.
Fractional coordinates of all 4 atoms:
Mo (0.7474, 0.7474, 0.4948)  4 Mo 2.73, 2 Zr 2.76, 2 Si 2.80
Mo (0.2526, 0.2526, 0.5052)  4 Mo 2.73, 2 Zr 2.76, 2 Si 2.80
Si (0.5000, 0.0000, 0.0000)  4 Zr 2.73, 4 Mo 2.80
Zr (0.0000, 0.5000, 0.0000)  4 Si 2.73, 4 Mo 2.76

Calculated values
Formation energy (no corrections): -0.141 eV/atom
Spin magnetization: 0.0000 μB/atom
Space group: No. 71
DFT total energy: -9.734 eV/atom

(2)
Computed, not measured: a relaxed structure of TiBe2Ir at the GGA-PBEsol level of DFT.

Cell lengths 3.5384, 3.5384, 8.7656 Å; angles 101.64, 101.64, 90.00 degrees
Closest atoms and distances in Å follow each position.
Fractional coordinates of all 8 atoms:
Be (0.3270, 0.8750, 0.2500)  2 Be 2.27, 2 Ir 2.39, 2 Ti 2.51
Be (0.9230, 0.3750, 0.2500)  2 Be 2.27, 2 Ir 2.39, 2 Ti 2.51
Be (0.1250, 0.0770, 0.7500)  2 Be 2.27, 2 Ir 2.39, 2 Ti 2.51
Be (0.6250, 0.6730, 0.7500)  2 Be 2.27, 2 Ir 2.39, 2 Ti 2.51
Ir (0.2500, 0.7500, 0.5000)  4 Be 2.39, 4 Ti 2.50
Ir (0.0000, 0.0000, 0.0000)  4 Be 2.39, 4 Ti 2.50
Ti (0.7500, 0.2500, 0.5000)  4 Ir 2.50, 4 Be 2.51
Ti (0.5000, 0.5000, 0.0000)  4 Ir 2.50, 4 Be 2.51

Calculated values
Spin magnetization: 0.0000 μB/atom
Space group: No. 122
DFT total energy: -6.465 eV/atom
Energy of formation from the pure elements: 0.071 eV/atom
Energy above the lowest structure with this stoichiometry: 630 meV per atom

(3)
Computed, not measured: a relaxed structure of ScNi2Ru at the GGA-PBEsol level of DFT.

Cell lengths 3.7465, 3.7465, 4.5960 Å; angles 114.05, 114.05, 90.00 degrees
Closest atoms and distances in Å follow each position.
Fractional coordinates of all 4 atoms:
Ni (0.0000, 0.0000, 0.0000)  4 Ru 2.65, 4 Ni 2.65, 4 Sc 2.65
Ni (0.7500, 0.2500, 0.5000)  4 Sc 2.65, 4 Ni 2.65, 4 Ru 2.65
Ru (0.5000, 0.5000, 0.0000)  8 Ni 2.65, 4 Sc 2.65
Sc (0.2500, 0.7500, 0.5000)  8 Ni 2.65, 4 Ru 2.65

Calculated values
Spin magnetization: 0.2977 μB/atom
Space group: No. 119
DFT total energy: -7.394 eV/atom
Energy of formation from the pure elements: -0.121 eV/atom

(4)
Computed, not measured: a relaxed structure of TaAg2Se at the GGA-PBEsol level of DFT.

Cell lengths 3.0978, 4.4015, 5.0358 Å; angles 90.00, 90.00, 90.00 degrees
Closest atoms and distances in Å follow each position.
Fractional coordinates of all 4 atoms:
Ag (0.0000, 0.0000, 0.0000)  4 Ag 2.69, 4 Se 2.96
Ag (0.5000, 0.5000, 0.0000)  4 Ag 2.69, 4 Ta 2.96
Se (0.5000, 0.0000, 0.5000)  4 Ta 2.69, 4 Ag 2.96
Ta (0.0000, 0.5000, 0.5000)  4 Se 2.69, 4 Ag 2.96

Calculated values
Formation energy (no corrections): 0.233 eV/atom
Spin magnetization: 0.0000 μB/atom
Space group: No. 47
DFT total energy: -5.523 eV/atom

(5)
Computed, not measured: a relaxed structure of Sb2H20Cl12O9 at the GGA-PBEsol level of DFT.

Cell lengths 11.5993, 11.5993, 11.9816 Å; angles 92.28, 117.71, 118.60 degrees
Closest atoms and distances in Å follow each position.
Fractional coordinates of all 86 atoms:
Sb (0.7949, 0.6480, 0.9384)  6 Cl 2.36-2.42
Sb (0.2051, 0.3520, 0.0616)  6 Cl 2.36-2.42
Sb (0.7904, 0.1436, 0.4384)  6 Cl 2.36-2.42
Sb (0.2096, 0.8564, 0.5616)  6 Cl 2.36-2.42
H (0.8267, 0.8383, 0.3140)  1 O 0.99
H (0.1733, 0.1617, 0.6860)  1 O 0.99
H (0.9757, 0.4873, 0.8140)  1 O 0.99
H (0.0243, 0.5127, 0.1860)  1 O 0.99
H (0.7177, 0.6879, 0.2117)  1 O 0.99
H (0.2823, 0.3121, 0.7883)  1 O 0.99
H (0.0238, 0.4941, 0.7117)  1 O 0.99
H (0.9762, 0.5059, 0.2883)  1 O 0.99
H (0.6934, 0.7034, 0.3856)  1 O 1.01
H (0.3066, 0.2966, 0.6144)  1 O 1.01
H (0.1822, 0.6922, 0.8856)  1 O 1.01
H (0.8178, 0.3078, 0.1144)  1 O 1.01
H (0.6250, 0.7077, 0.4991)  2 O 1.19-1.22
H (0.3750, 0.2923, 0.5009)  2 O 1.19-1.22
H (0.2914, 0.8741, 0.9991)  2 O 1.19-1.22
H (0.7086, 0.1259, 0.0009)  2 O 1.19-1.22
H (0.7110, 0.6086, 0.4877)  1 O 1.01
H (0.2890, 0.3914, 0.5123)  1 O 1.01
H (0.3791, 0.7767, 0.9877)  1 O 1.01
H (0.6209, 0.2233, 0.0123)  1 O 1.01
H (0.4447, 0.6513, 0.5045)  1 O 1.01
H (0.5553, 0.3487, 0.4955)  1 O 1.01
H (0.3532, 0.0598, 0.0045)  1 O 1.01
H (0.6468, 0.9402, 0.9955)  1 O 1.01
H (0.6072, 0.8055, 0.6159)  1 O 1.00
H (0.3928, 0.1945, 0.3841)  1 O 1.00
H (0.3104, 0.0086, 0.1159)  1 O 1.00
H (0.6896, 0.9914, 0.8841)  1 O 1.00
H (0.1769, 0.4874, 0.3796)  1 O 1.01
H (0.8231, 0.5126, 0.6204)  1 O 1.01
H (0.3922, 0.2027, 0.8796)  1 O 1.01
H (0.6078, 0.7973, 0.1204)  1 O 1.01
H (0.2619, 0.5654, 0.5329)  1 O 0.99
H (0.7381, 0.4346, 0.4671)  1 O 0.99
H (0.4675, 0.2710, 0.0329)  1 O 0.99
H (0.5325, 0.7290, 0.9671)  1 O 0.99
H (0.8209, 0.9959, 0.7997)  1 O 0.99
H (0.1791, 0.0041, 0.2003)  1 O 0.99
H (0.3038, 0.9789, 0.2997)  1 O 0.99
H (0.6962, 0.0211, 0.7003)  1 O 0.99
Cl (0.5459, 0.6254, 0.8132)  1 H 2.27, 1 Sb 2.42
Cl (0.4541, 0.3746, 0.1868)  1 H 2.27, 1 Sb 2.42
Cl (0.6878, 0.2674, 0.3132)  1 H 2.27, 1 Sb 2.42
Cl (0.3122, 0.7326, 0.6868)  1 H 2.27, 1 Sb 2.42
Cl (0.6776, 0.4228, 0.7998)  1 Sb 2.36
Cl (0.3224, 0.5772, 0.2002)  1 Sb 2.36
Cl (0.8770, 0.1221, 0.2998)  1 Sb 2.36
Cl (0.1230, 0.8779, 0.7002)  1 Sb 2.36
Cl (0.7141, 0.5443, 0.0819)  1 H 2.21, 1 Sb 2.42
Cl (0.2859, 0.4557, 0.9181)  1 H 2.21, 1 Sb 2.42
Cl (0.0376, 0.3677, 0.5819)  1 H 2.21, 1 Sb 2.42
Cl (0.9624, 0.6323, 0.4181)  1 H 2.21, 1 Sb 2.42
Cl (0.0394, 0.6700, 0.0697)  1 H 2.33, 1 Sb 2.39
Cl (0.9606, 0.3300, 0.9303)  1 H 2.33, 1 Sb 2.39
Cl (0.8997, 0.0303, 0.5697)  1 H 2.33, 1 Sb 2.39
Cl (0.1003, 0.9697, 0.4303)  1 H 2.33, 1 Sb 2.39
Cl (0.9074, 0.8738, 0.0800)  1 H 2.31, 1 Sb 2.40
Cl (0.0926, 0.1262, 0.9200)  1 H 2.31, 1 Sb 2.40
Cl (0.7063, 0.1726, 0.5800)  1 H 2.31, 1 Sb 2.40
Cl (0.2937, 0.8274, 0.4200)  1 H 2.31, 1 Sb 2.40
Cl (0.8678, 0.7519, 0.7965)  1 Sb 2.36
Cl (0.1322, 0.2481, 0.2035)  1 Sb 2.36
Cl (0.5446, 0.9286, 0.2965)  1 Sb 2.36
Cl (0.4554, 0.0714, 0.7035)  1 Sb 2.36
O (0.7157, 0.7573, 0.2606)  2 H 0.99
O (0.2843, 0.2427, 0.7394)  2 H 0.99
O (0.0034, 0.5450, 0.7606)  2 H 0.99
O (0.9966, 0.4550, 0.2394)  2 H 0.99
O (0.7017, 0.6893, 0.4706)  2 H 1.01
O (0.2983, 0.3107, 0.5294)  2 H 1.01
O (0.2813, 0.7689, 0.9706)  2 H 1.01
O (0.7187, 0.2311, 0.0294)  2 H 1.01
O (0.5497, 0.7329, 0.5279)  2 H 1.00-1.01
O (0.4503, 0.2671, 0.4721)  2 H 1.00-1.01
O (0.2949, 0.9781, 0.0279)  2 H 1.00-1.01
O (0.7051, 0.0219, 0.9721)  2 H 1.00-1.01
O (0.2727, 0.5192, 0.4707)  2 H 0.99-1.01
O (0.7273, 0.4808, 0.5293)  2 H 0.99-1.01
O (0.4514, 0.1979, 0.9707)  2 H 0.99-1.01
O (0.5486, 0.8021, 0.0293)  2 H 0.99-1.01
O (0.7070, 0.9570, 0.7500)  2 H 0.99
O (0.2930, 0.0430, 0.2500)  2 H 0.99

Calculated values
Spin magnetization: 0.0000 μB/atom
Space group: No. 15
DFT total energy: -4.343 eV/atom

(6)
Computed, not measured: a relaxed structure of Si4Hg3 at the GGA-PBEsol level of DFT.

Cell lengths 5.2926, 5.2926, 5.2926 Å; angles 90.00, 90.00, 90.00 degrees
Closest atoms and distances in Å follow each position.
Fractional coordinates of all 7 atoms:
Hg (0.5000, 0.0000, 0.5000)  4 Si 2.66
Hg (0.5000, 0.5000, 0.0000)  4 Si 2.66
Hg (0.0000, 0.5000, 0.5000)  4 Si 2.66
Si (0.1650, 0.8350, 0.1650)  3 Si 2.47, 3 Hg 2.66
Si (0.8350, 0.1650, 0.1650)  3 Si 2.47, 3 Hg 2.66
Si (0.8350, 0.8350, 0.8350)  3 Si 2.47, 3 Hg 2.66
Si (0.1650, 0.1650, 0.8350)  3 Si 2.47, 3 Hg 2.66

Calculated values
Formation energy (no corrections): 0.379 eV/atom
Spin magnetization: 0.0001 μB/atom
Space group: No. 215
DFT total energy: -3.147 eV/atom

(7)
Computed, not measured: a relaxed structure of Mg5Sc at the GGA-PBEsol level of DFT.

Cell lengths 5.0938, 5.5496, 5.5496 Å; angles 120.00, 90.00, 90.00 degrees
Closest atoms and distances in Å follow each position.
Fractional coordinates of all 6 atoms:
Sc (0.5000, 0.0000, 0.0000)  12 Mg 3.17-3.20
Mg (0.0000, 0.3398, 0.3398)  10 Mg 3.14-3.27, 2 Sc 3.17
Mg (0.0000, 0.6602, 0.0000)  10 Mg 3.14-3.27, 2 Sc 3.17
Mg (0.0000, 0.0000, 0.6602)  10 Mg 3.14-3.27, 2 Sc 3.17
Mg (0.5000, 0.3333, 0.6667)  9 Mg 3.14-3.20, 3 Sc 3.20
Mg (0.5000, 0.6667, 0.3333)  9 Mg 3.14-3.20, 3 Sc 3.20

Calculated values
Spin magnetization: 0.0001 μB/atom
Space group: No. 189
DFT total energy: -2.520 eV/atom
Energy of formation from the pure elements: 0.012 eV/atom

(8)
Computed, not measured: a relaxed structure of CeIn4Pd at the GGA-PBEsol level of DFT.

Cell lengths 4.5096, 7.1633, 8.7174 Å; angles 90.00, 104.99, 90.00 degrees
Closest atoms and distances in Å follow each position.
Fractional coordinates of all 12 atoms:
Pd (0.2229, 0.2500, 0.4458)  7 In 2.62-2.77
Pd (0.7771, 0.7500, 0.5542)  7 In 2.62-2.77
Ce (0.1186, 0.7500, 0.2371)  9 In 3.13-3.50, 2 Pd 3.49
Ce (0.8814, 0.2500, 0.7629)  9 In 3.13-3.50, 2 Pd 3.49
In (0.5000, 0.5000, 0.0000)  6 In 3.09
In (0.5000, 0.0000, 0.0000)  6 In 3.09
In (0.6825, 0.0455, 0.3650)  3 Pd 2.65-2.77, 1 In 2.93
In (0.3175, 0.9545, 0.6350)  3 Pd 2.65-2.77, 1 In 2.93
In (0.3175, 0.5455, 0.6350)  3 Pd 2.65-2.77, 1 In 2.93
In (0.6825, 0.4545, 0.3650)  3 Pd 2.65-2.77, 1 In 2.93
In (0.0673, 0.2500, 0.1345)  1 Pd 2.62
In (0.9327, 0.7500, 0.8655)  1 Pd 2.62

Calculated values
Spin magnetization: 0.1442 μB/atom
Space group: No. 63
DFT total energy: -4.544 eV/atom
Energy of formation from the pure elements: -0.463 eV/atom

(9)
Computed, not measured: a relaxed structure of OsWBr2 at the GGA-PBEsol level of DFT.

Cell lengths 3.1494, 4.5069, 4.5069 Å; angles 90.00, 90.00, 90.00 degrees
Closest atoms and distances in Å follow each position.
Fractional coordinates of all 4 atoms:
Os (0.5000, 0.5000, 0.5000)  8 Br 2.75
Br (0.0000, 0.0000, 0.5000)  4 Os 2.75, 4 W 2.75
Br (0.0000, 0.5000, 0.0000)  4 W 2.75, 4 Os 2.75
W (0.5000, 0.0000, 0.0000)  8 Br 2.75

Calculated values
Formation energy (no corrections): 1.593 eV/atom
Spin magnetization: 0.0000 μB/atom
Space group: No. 123
DFT total energy: -5.848 eV/atom

(10)
Computed, not measured: a relaxed structure of TlTc3 at the GGA-PBEsol level of DFT.

Cell lengths 2.8765, 4.8245, 4.8245 Å; angles 111.53, 90.00, 90.00 degrees
Closest atoms and distances in Å follow each position.
Fractional coordinates of all 4 atoms:
Tc (0.5000, 0.0000, 0.5000)  8 Tc 2.71-2.88, 4 Tl 2.81
Tc (0.5000, 0.5000, 0.0000)  8 Tc 2.71-2.88, 4 Tl 2.81
Tc (0.0000, 0.5000, 0.5000)  2 Tl 2.71, 10 Tc 2.81-2.88
Tl (0.0000, 0.0000, 0.0000)  10 Tc 2.71-2.81, 2 Tl 2.88

Calculated values
Spin magnetization: 0.0011 μB/atom
Space group: No. 65
DFT total energy: -8.431 eV/atom
Energy of formation from the pure elements: 0.677 eV/atom
Energy above the lowest structure with this stoichiometry: 237 meV per atom